First-principles (PBE) data for a geometry-optimized BeTe2As structure, as listed in the Alexandria database.

Cell: 3.9444 3.9444 7.0418 Å, 74.55 74.55 59.43°
Last column: nearest neighbours and their distance in Å.
Positions (direct):
Te 0.0114 0.0114 0.9675  3 Be 2.69-2.70, 3 As 2.94-2.97
Te 0.4886 0.4886 0.5325  3 Be 2.69-2.70, 3 As 2.94-2.97
As 0.2500 0.2500 0.2500  6 Te 2.94-2.97
Be 0.7500 0.7500 0.7500  6 Te 2.69-2.70

Summary:
total magnetization = 0.00 μB/cell
energy = -14.0 eV per cell
formation energy from raw total energies = 0.656 eV per formula unit
crystal system = monoclinic
polymorph energy (0 for the lowest one) = 120 meV per atom



First-principles (PBE) data for a geometry-optimized Li2NbAu structure, as listed in the Alexandria database.

Cell: 7.1171 7.1171 5.7024 Å, 51.39 51.39 90.00°
Last column: nearest neighbours and their distance in Å.
Positions (direct):
Li 0.3750 0.3463 0.7500  2 Au 2.47, 2 Li 2.71, 2 Nb 2.75
Li 0.0963 0.6250 0.2500  2 Au 2.47, 2 Li 2.71, 2 Nb 2.75
Li 0.8750 0.9037 0.7500  2 Au 2.47, 2 Li 2.71, 2 Nb 2.75
Li 0.6537 0.1250 0.2500  2 Au 2.47, 2 Li 2.71, 2 Nb 2.75
Nb 0.5000 0.5000 0.0000  2 Au 2.68, 4 Li 2.75
Nb 0.2500 0.7500 0.5000  2 Au 2.68, 4 Li 2.75
Au 0.7500 0.2500 0.5000  4 Li 2.47, 2 Nb 2.68
Au 0.0000 0.0000 0.0000  4 Li 2.47, 2 Nb 2.68

Summary:
total magnetization = 0.00 μB/cell
energy = -31.0 eV per cell
crystal system = tetragonal
formation energy from the elements = 0.416 eV/atom
polymorph energy (0 for the lowest one) = 198 meV per atom



First-principles (PBE) data for a geometry-optimized LiTi2Tl structure, as listed in the Alexandria database.

Cell: 7.6369 7.6369 5.9742 Å, 50.27 50.27 90.00°
Last column: nearest neighbours and their distance in Å.
Positions (direct):
Tl 0.7500 0.2500 0.5000  2 Li 2.56, 4 Ti 2.83
Tl 0.0000 0.0000 0.0000  2 Li 2.56, 4 Ti 2.83
Ti 0.3750 0.3851 0.7500  2 Ti 2.56, 2 Li 2.72, 2 Tl 2.83
Ti 0.8750 0.8649 0.7500  2 Ti 2.56, 2 Li 2.72, 2 Tl 2.83
Ti 0.6149 0.1250 0.2500  2 Ti 2.56, 2 Li 2.72, 2 Tl 2.83
Ti 0.1351 0.6250 0.2500  2 Ti 2.56, 2 Li 2.72, 2 Tl 2.83
Li 0.2500 0.7500 0.5000  2 Tl 2.56, 4 Ti 2.72
Li 0.5000 0.5000 0.0000  2 Tl 2.56, 4 Ti 2.72

Summary:
total magnetization = 0.00 μB/cell
energy = -36.8 eV per cell
crystal system = tetragonal
formation energy from the elements = 0.420 eV/atom



First-principles (PBE) data for a geometry-optimized Pr3NdHo7 structure, as listed in the Alexandria database.

Cell: 8.7499 7.0891 7.0891 Å, 120.00 90.00 90.00°
Last column: nearest neighbours and their distance in Å.
Positions (direct):
Ho 0.1209 0.6660 0.8330  1 Nd 3.49, 8 Ho 3.49-3.55, 2 Pr 3.59
Ho 0.4439 0.8326 0.1674  7 Ho 3.47-3.56, 2 Nd 3.54, 2 Pr 3.61
Ho 0.1209 0.1670 0.8330  1 Nd 3.49, 8 Ho 3.49-3.55, 2 Pr 3.59
Ho 0.4439 0.8326 0.6651  7 Ho 3.47-3.56, 2 Nd 3.54, 2 Pr 3.61
Ho 0.4439 0.3349 0.1674  7 Ho 3.47-3.56, 2 Nd 3.54, 2 Pr 3.61
Ho 0.1209 0.1670 0.3340  1 Nd 3.49, 8 Ho 3.49-3.55, 2 Pr 3.59
Ho 0.1235 0.6667 0.3333  9 Ho 3.47-3.54, 3 Pr 3.60
Nd 0.4438 0.3333 0.6667  9 Ho 3.49-3.54, 3 Pr 3.62
Pr 0.7845 0.5004 0.0008  4 Pr 3.54-3.55, 5 Ho 3.59-3.61, 1 Nd 3.62
Pr 0.7845 0.9992 0.4996  4 Pr 3.54-3.55, 5 Ho 3.59-3.61, 1 Nd 3.62
Pr 0.7845 0.5004 0.4996  4 Pr 3.54-3.55, 5 Ho 3.59-3.61, 1 Nd 3.62

Summary:
total magnetization = 0.00 μB/cell
energy = -49.2 eV per cell
crystal system = trigonal
formation energy from the elements = 0.176 eV/atom
polymorph energy (0 for the lowest one) = 56 meV per atom



First-principles (PBE) data for a geometry-optimized Ag4P12Br structure, as listed in the Alexandria database.

Cell: 7.4506 7.4505 7.4505 Å, 109.47 109.47 109.47°
Last column: nearest neighbours and their distance in Å.
Positions (direct):
Br 0.0000 0.0000 0.0000  12 P 3.37, 8 Ag 3.73
P 0.2442 0.8736 0.3706  2 P 2.18-2.23
P 0.7558 0.1264 0.6294  2 P 2.18-2.23
P 0.8736 0.3706 0.2442  2 P 2.18-2.23
P 0.5030 0.8736 0.6294  2 P 2.18-2.23
P 0.3706 0.2442 0.8736  2 P 2.18-2.23
P 0.6294 0.5030 0.8736  2 P 2.18-2.23
P 0.6294 0.7558 0.1264  2 P 2.18-2.23
P 0.1264 0.6294 0.7558  2 P 2.18-2.23
P 0.8736 0.6294 0.5030  2 P 2.18-2.23
P 0.1264 0.3706 0.4970  2 P 2.18-2.23
P 0.4970 0.1264 0.3706  2 P 2.18-2.23
P 0.3706 0.4970 0.1264  2 P 2.18-2.23
Ag 0.5000 0.0000 0.0000  6 P 2.61
Ag 0.0000 0.0000 0.5000  6 P 2.61
Ag 0.0000 0.5000 0.0000  6 P 2.61
Ag 0.5000 0.5000 0.5000  6 P 2.61

Summary:
total magnetization = 0.00 μB/cell
energy = -76.8 eV per cell
formation energy from raw total energies = 1.227 eV per formula unit
crystal system = cubic



First-principles (PBE) data for a geometry-optimized Np2USn structure, as listed in the Alexandria database.

Cell: 4.5415 4.5746 4.5746 Å, 90.00 90.00 90.00°
Last column: nearest neighbours and their distance in Å.
Positions (direct):
Sn 0.5000 0.5000 0.5000  8 Np 3.22, 4 U 3.23
Np 0.0000 0.5000 0.0000  4 Sn 3.22, 4 U 3.22, 4 Np 3.23
Np 0.0000 0.0000 0.5000  4 Sn 3.22, 4 U 3.22, 4 Np 3.23
U 0.5000 0.0000 0.0000  8 Np 3.22, 4 Sn 3.23

Summary:
total magnetization = 10.55 μB/cell
energy = -40.4 eV per cell
crystal system = tetragonal
formation energy from the elements = 0.204 eV/atom



First-principles (PBE) data for a geometry-optimized PuMgH8Pt2 structure, as listed in the Alexandria database.

Cell: 4.8372 4.8372 6.3974 Å, 67.79 67.79 60.00°
Last column: nearest neighbours and their distance in Å.
Positions (direct):
H 0.1716 0.1716 0.4850  1 Pt 1.61
H 0.2999 0.9024 0.1954  1 Pt 1.70
H 0.0976 0.3977 0.8046  1 Pt 1.70
H 0.7001 0.0976 0.8046  1 Pt 1.70
H 0.9024 0.6023 0.1954  1 Pt 1.70
H 0.8284 0.8284 0.5150  1 Pt 1.61
H 0.3977 0.7001 0.8046  1 Pt 1.70
H 0.6023 0.2999 0.1954  1 Pt 1.70
Pu 0.5000 0.5000 0.5000  6 H 2.28
Pt 0.7349 0.7349 0.7952  4 H 1.61-1.70
Pt 0.2651 0.2651 0.2048  4 H 1.61-1.70
Mg 0.0000 0.0000 0.0000  6 H 2.03

Summary:
total magnetization = 5.40 μB/cell
energy = -56.1 eV per cell
crystal system = trigonal



First-principles (PBE) data for a geometry-optimized CaNdTlAu structure, as listed in the Alexandria database.

Cell: 5.3489 5.3489 5.3489 Å, 60.00 60.00 60.00°
Last column: nearest neighbours and their distance in Å.
Positions (direct):
Tl 0.5000 0.5000 0.5000  4 Nd 3.28, 4 Ca 3.28
Nd 0.2500 0.2500 0.2500  4 Tl 3.28, 4 Au 3.28
Au 0.0000 0.0000 0.0000  4 Nd 3.28, 4 Ca 3.28
Ca 0.7500 0.7500 0.7500  4 Tl 3.28, 4 Au 3.28

Summary:
total magnetization = 0.00 μB/cell
energy = -14.7 eV per cell
crystal system = cubic
formation energy from the elements = -0.581 eV/atom
polymorph energy (0 for the lowest one) = 11 meV per atom